Computed, not measured: a geometry-optimized Cd6AgHg structure at the PBE level of DFT.

The magnetization is 0.000 μB per cell. The volume comes out at 22.189 Å³ per atom. The energy above the lowest structure with this stoichiometry is 0 meV/atom.

It has space group P-1 (No. 2), with a = 5.428 Å, b = 5.431 Å, c = 7.062 Å, α = 110.35°, β = 110.35° and γ = 95.31°. The asymmetric unit holds Cd at (0.121, 0.133, 0.246), Cd at (0.249, 0.755, 0.485), Cd at (0.372, 0.383, 0.754), Ag at (0.000, 0.500, 0.000) and Hg at (0.500, 0.000, 0.000).